Entry from Alexandria: a geometry-optimized AcPmAlPt structure (PBE-GGA).

Properties
ΔE_f = -0.536 eV per atom

Structure (POSCAR):
```
AcPmAlPt
1.0
-0.9987 -0.2398 -5.2361
-4.5079 -2.2509 -1.7559
-3.8436 3.0306 -2.1245
Pm Ac Pt Al
1 1 1 1
Direct
0.2500 0.2500 0.2500
0.7500 0.7500 0.7500
0.5000 0.5000 0.5000
0.0000 0.0000 0.0000
```